(1)
The following is a DFT calculation (PBE) of a geometry-optimized BaCr3Ru structure.

Calculated values
electronic total energy = -25.40 eV per cell
energy of formation from the pure elements = 14.67 eV per formula unit
spin magnetization = 1.954 μB per atom
ΔE to the lowest computed polymorph = 2031 meV per atom
DOS(E_F) = 9.7 states/eV/cell

Cell lengths 4.827, 4.827, 4.827 Å; angles 90.00, 90.00, 90.00 degrees
Sites, in units of the cell vectors:
Ba (0.000, 0.000, 0.000)
Cr (0.000, 0.000, 0.500)
Cr (0.000, 0.500, 0.000)
Cr (0.500, 0.000, 0.000)
Ru (0.500, 0.500, 0.500)

(2)
The following is a DFT calculation (PBE) of a geometry-optimized BaCr2SiRu structure.

Calculated values
electronic total energy = -28.45 eV per cell
spin magnetization = 0.000 μB per atom
DOS(E_F) = 7.9 states/eV/cell
formation energy (no corrections) = 1484 meV/atom

Cell lengths 4.544, 4.544, 5.775 Å; angles 90.00, 90.00, 90.00 degrees
Sites, in units of the cell vectors:
Ba (0.000, 0.000, 0.000)
Cr (0.000, 0.500, 0.500)
Cr (0.500, 0.000, 0.500)
Si (0.500, 0.500, 0.000)
Ru (0.000, 0.000, 0.500)